CdCuPb2: relaxed, PBE.

Summary:
The value obtained for the volume is 100.0 Å³/cell. The symmetry is Pm, No. 6. The value obtained for the formation energy is 0.136 eV/atom. As for the total magnetization: 0.0 μB/f.u.

Cell lengths 3.5363, 4.5936, 6.5753 Å; angles 69.48, 90.00, 90.00 degrees
Atoms (fractional coordinates):
Pb: 0.5000 0.3006 0.2746
Pb: 0.0000 0.9786 0.9170
Cu: 0.5000 0.5270 0.8205
Cd: 0.0000 0.6938 0.4879